1.
## GdTiGa2 (PBE)

Data for a geometry-optimized GdTiGa2 structure.

Summary:
**Energy of formation from the pure elements**: -0.22 eV per atom
**N(E_F)**: 0.882 states/eV/atom
**Mass density**: 6.8 g/cm3
**Space-group type**: R-3m, No. 166
**V**: 84.59 Å³/f.u.

a b c (Å): 3.4396 3.4396 24.7677
angles (deg): 90.00 90.00 120.00
With the nearest neighbours (Å) after each atom.
Element x y z (fractional)
Gd (0.0000, 0.0000, 0.0000)  6 Ga 3.03
Gd (0.3333, 0.6667, 0.6667)  6 Ga 3.03
Gd (0.6667, 0.3333, 0.3333)  6 Ga 3.03
Ti (0.0000, 0.0000, 0.5000)  6 Ga 2.70
Ti (0.3333, 0.6667, 0.1667)  6 Ga 2.70
Ti (0.6667, 0.3333, 0.8333)  6 Ga 2.70
Ga (0.0000, 0.0000, 0.2408)  3 Ti 2.70
Ga (0.0000, 0.0000, 0.7592)  3 Ti 2.70
Ga (0.3333, 0.6667, 0.4258)  3 Ti 2.70
Ga (0.3333, 0.6667, 0.9075)  3 Ti 2.70
Ga (0.6667, 0.3333, 0.0925)  3 Ti 2.70
Ga (0.6667, 0.3333, 0.5742)  3 Ti 2.70

=====

2.
## In2GaPd9 (PBE)

Data for a geometry-optimized In2GaPd9 structure.

Summary:
**Energy of formation from the pure elements**: -0.43 eV per atom
**N(E_F)**: 1.145 states/eV/atom
**Mass density**: 10.9 g/cm3
**Space-group type**: P4/mmm, No. 123
**V**: 191.87 Å³/f.u.

a b c (Å): 4.0102 4.0102 11.9308
angles (deg): 90.00 90.00 90.00
With the nearest neighbours (Å) after each atom.
Element x y z (fractional)
In (0.0000, 0.0000, 0.1707)  12 Pd 2.84-2.87
In (0.0000, 0.0000, 0.8293)  12 Pd 2.84-2.87
Ga (0.0000, 0.0000, 0.5000)  12 Pd 2.75-2.84
Pd (0.0000, 0.5000, 0.0000)  8 Pd 2.84-2.87, 4 In 2.86
Pd (0.0000, 0.5000, 0.3426)  8 Pd 2.75-2.86, 2 Ga 2.75, 2 In 2.87
Pd (0.0000, 0.5000, 0.6574)  8 Pd 2.75-2.86, 2 Ga 2.75, 2 In 2.87
Pd (0.5000, 0.0000, 0.0000)  8 Pd 2.84-2.87, 4 In 2.86
Pd (0.5000, 0.0000, 0.3426)  8 Pd 2.75-2.86, 2 Ga 2.75, 2 In 2.87
Pd (0.5000, 0.0000, 0.6574)  8 Pd 2.75-2.86, 2 Ga 2.75, 2 In 2.87
Pd (0.5000, 0.5000, 0.1715)  4 In 2.84, 8 Pd 2.86-2.87
Pd (0.5000, 0.5000, 0.5000)  8 Pd 2.75, 4 Ga 2.84
Pd (0.5000, 0.5000, 0.8285)  4 In 2.84, 8 Pd 2.86-2.87

=====

3.
## Fe2HgPd (PBE)

Data for a geometry-optimized Fe2HgPd structure.

Summary:
**Energy of formation from the pure elements**: 0.53 eV per atom
**N(E_F)**: 0.907 states/eV/atom
**Mass density**: 10.3 g/cm3
**Space-group type**: I-42d, No. 122
**V**: 67.53 Å³/f.u.

a b c (Å): 7.1401 7.1401 5.2983
angles (deg): 90.00 90.00 90.00
With the nearest neighbours (Å) after each atom.
Element x y z (fractional)
Fe (0.2282, 0.2500, 0.1250)  2 Pd 2.51, 2 Fe 2.67, 2 Hg 2.72
Fe (0.2500, 0.7282, 0.3750)  2 Pd 2.51, 2 Fe 2.67, 2 Hg 2.72
Fe (0.2500, 0.7718, 0.8750)  2 Pd 2.51, 2 Fe 2.67, 2 Hg 2.72
Fe (0.2718, 0.2500, 0.6250)  2 Pd 2.51, 2 Fe 2.67, 2 Hg 2.72
Fe (0.7282, 0.7500, 0.6250)  2 Pd 2.51, 2 Fe 2.67, 2 Hg 2.72
Fe (0.7500, 0.2282, 0.8750)  2 Pd 2.51, 2 Fe 2.67, 2 Hg 2.72
Fe (0.7500, 0.2718, 0.3750)  2 Pd 2.51, 2 Fe 2.67, 2 Hg 2.72
Fe (0.7718, 0.7500, 0.1250)  2 Pd 2.51, 2 Fe 2.67, 2 Hg 2.72
Hg (0.0000, 0.0000, 0.5000)  2 Pd 2.65, 4 Fe 2.72
Hg (0.0000, 0.5000, 0.7500)  2 Pd 2.65, 4 Fe 2.72
Hg (0.5000, 0.0000, 0.2500)  2 Pd 2.65, 4 Fe 2.72
Hg (0.5000, 0.5000, 0.0000)  2 Pd 2.65, 4 Fe 2.72
Pd (0.0000, 0.0000, 0.0000)  4 Fe 2.51, 2 Hg 2.65
Pd (0.0000, 0.5000, 0.2500)  4 Fe 2.51, 2 Hg 2.65
Pd (0.5000, 0.0000, 0.7500)  4 Fe 2.51, 2 Hg 2.65
Pd (0.5000, 0.5000, 0.5000)  4 Fe 2.51, 2 Hg 2.65

=====

4.
## Pm4GaCo3 (PBE)

Data for a geometry-optimized Pm4GaCo3 structure.

Summary:
**Energy of formation from the pure elements**: -0.20 eV per atom
**N(E_F)**: 0.976 states/eV/atom
**Mass density**: 7.6 g/cm3
**Space-group type**: Pmm2, No. 25
**V**: 181.67 Å³/f.u.

a b c (Å): 4.1114 4.1756 10.5823
angles (deg): 90.00 90.00 90.00
With the nearest neighbours (Å) after each atom.
Element x y z (fractional)
Pm (0.0000, 0.0000, 0.0000)  6 Co 2.85-3.09
Pm (0.0000, 0.5000, 0.2788)  7 Co 2.85-3.09
Pm (0.5000, 0.0000, 0.4830)  2 Ga 3.03, 5 Co 3.06-3.14
Pm (0.5000, 0.5000, 0.7719)  2 Co 2.99, 4 Ga 3.04
Ga (0.0000, 0.0000, 0.6936)  2 Co 2.48
Co (0.0000, 0.5000, 0.5667)  2 Ga 2.48
Co (0.5000, 0.0000, 0.1866)  2 Co 2.31
Co (0.5000, 0.5000, 0.0924)  2 Co 2.31

=====

5.
## Sm7Ho2 (PBE)

Data for a geometry-optimized Sm7Ho2 structure.

Summary:
**Energy of formation from the pure elements**: 0.02 eV per atom
**N(E_F)**: 1.283 states/eV/atom
**Mass density**: 7.7 g/cm3
**Space-group type**: P-31m, No. 162
**V**: 297.80 Å³/f.u.

a b c (Å): 6.2457 6.2457 8.8151
angles (deg): 90.00 90.00 120.00
With the nearest neighbours (Å) after each atom.
Element x y z (fractional)
Sm (0.0000, 0.0000, 0.0000)  6 Sm 3.59, 6 Ho 3.61
Sm (0.0000, 0.3338, 0.6687)  2 Ho 3.59, 10 Sm 3.59-3.63
Sm (0.0000, 0.6662, 0.3313)  2 Ho 3.59, 10 Sm 3.59-3.63
Sm (0.3338, 0.0000, 0.6687)  2 Ho 3.59, 10 Sm 3.59-3.63
Sm (0.3338, 0.3338, 0.3313)  2 Ho 3.59, 10 Sm 3.59-3.63
Sm (0.6662, 0.0000, 0.3313)  2 Ho 3.59, 10 Sm 3.59-3.63
Sm (0.6662, 0.6662, 0.6687)  2 Ho 3.59, 10 Sm 3.59-3.63
Ho (0.3333, 0.6667, 0.0000)  9 Sm 3.59-3.61, 3 Ho 3.61
Ho (0.6667, 0.3333, 0.0000)  9 Sm 3.59-3.61, 3 Ho 3.61